# Ni2Rh2W, relaxed, DFT PBE
data_Ni2Rh2W
_chemical_formula_sum 'Ni4 Rh4 W2'
_cell_length_a 6.933
_cell_length_b 6.933
_cell_length_c 2.778
_cell_angle_alpha 90.00
_cell_angle_beta 90.00
_cell_angle_gamma 90.00
_space_group_name_H-M_alt 'P 4/m b m'
_space_group_IT_number 127
_space_group_name_Hall '-P 4 2ab'
loop_
_atom_site_label
_atom_site_fract_x
_atom_site_fract_y
_atom_site_fract_z
Ni1 0.126 0.374 0.000
Rh1 0.171 0.671 0.500
W1 0.000 0.000 0.000
# **Calculated formation energy**: 123 meV/atom
# **Magnetization**: 0.0 μB/cell
# **Polymorph energy (0 for the lowest one)**: 233 meV per atom